Record 1
Below is a relaxed Ba2BrN crystal, with properties calculated at the PBEsol level.

Structure (extended XYZ):
```
12
Lattice="4.111 0.000 0.000 -2.055 3.560 0.000 0.000 0.000 23.549" Properties=species:S:1:pos:R:3 pbc="T T T"
Ba 0.000 0.000 5.392
Ba 0.000 0.000 18.157
Ba 0.000 2.373 10.308
Ba 0.000 2.373 21.091
Ba 2.055 1.187 2.458
Ba 2.055 1.187 13.241
Br 0.000 0.000 0.000
Br 0.000 2.373 15.699
Br 2.055 1.187 7.850
N 0.000 0.000 11.774
N 0.000 2.373 3.925
N 2.055 1.187 19.624
```

Summary:
Formation energy (no corrections) = -1.244 eV/atom
Mass density = 5.33 g/cm³
Space group = R-3m, No. 166

=====

Record 2
Below is a relaxed BaBrN2O crystal, with properties calculated at the PBEsol level.

Structure (extended XYZ):
```
5
Lattice="4.027 0.000 0.000 0.000 4.027 0.000 0.000 0.000 4.331" Properties=species:S:1:pos:R:3 pbc="T T T"
Ba 0.000 0.000 0.000
Br 2.014 2.014 2.166
N 0.000 2.014 2.166
N 2.014 0.000 2.166
O 2.014 2.014 0.000
```

Summary:
Formation energy (no corrections) = 0.527 eV/atom
Mass density = 6.18 g/cm³
Space group = P4/mmm, No. 123

=====

Record 3
Below is a relaxed BaS2BrN crystal, with properties calculated at the PBEsol level.

Structure (extended XYZ):
```
5
Lattice="6.059 0.000 0.000 0.000 6.059 0.000 0.000 0.000 5.258" Properties=species:S:1:pos:R:3 pbc="T T T"
Ba 0.000 0.000 0.000
S 0.000 3.029 0.000
S 3.029 0.000 0.000
Br 3.029 3.029 2.629
N 0.000 0.000 2.629
```

Summary:
Formation energy (no corrections) = 1.082 eV/atom
ΔE to the lowest computed polymorph = 828 meV/atom
Mass density = 2.54 g/cm³
Space group = P4/mmm, No. 123

=====

Record 4
Below is a relaxed BaSBrN2 crystal, with properties calculated at the PBEsol level.

Structure (extended XYZ):
```
5
Lattice="5.272 0.000 0.000 0.000 5.272 0.000 0.000 0.000 6.102" Properties=species:S:1:pos:R:3 pbc="T T T"
Ba 0.000 0.000 0.000
S 0.000 0.000 3.051
Br 2.636 2.636 3.051
N 0.000 2.636 0.000
N 2.636 0.000 0.000
```

Summary:
Formation energy (no corrections) = 1.583 eV/atom
Mass density = 2.72 g/cm³
Space group = P4/mmm, No. 123

=====

Record 5
Below is a relaxed BaS2BrN crystal, with properties calculated at the PBEsol level.

Structure (extended XYZ):
```
5
Lattice="5.039 0.000 0.000 0.000 5.039 0.000 0.000 0.000 4.270" Properties=species:S:1:pos:R:3 pbc="T T T"
Ba 0.000 0.000 0.000
S 0.000 2.520 2.135
S 2.520 0.000 2.135
Br 2.520 2.520 2.135
N 2.520 2.520 0.000
```

Summary:
Formation energy (no corrections) = 0.254 eV/atom
ΔE to the lowest computed polymorph = 0 meV/atom
Mass density = 4.52 g/cm³
Space group = P4/mmm, No. 123

=====

Record 6
Below is a relaxed BaSe2BrN crystal, with properties calculated at the PBEsol level.

Structure (extended XYZ):
```
5
Lattice="5.298 0.000 0.000 0.000 5.298 0.000 0.000 0.000 4.312" Properties=species:S:1:pos:R:3 pbc="T T T"
Ba 0.000 0.000 0.000
Se 0.000 2.649 2.156
Se 2.649 0.000 2.156
Br 2.649 2.649 2.156
N 2.649 2.649 0.000
```

Summary:
Formation energy (no corrections) = 0.257 eV/atom
Mass density = 5.34 g/cm³
Space group = P4/mmm, No. 123

=====

Record 7
Below is a relaxed BaNa2Br crystal, with properties calculated at the PBEsol level.

Structure (extended XYZ):
```
16
Lattice="10.204 0.000 0.000 0.000 10.204 0.000 0.000 0.000 6.425" Properties=species:S:1:pos:R:3 pbc="T T T"
Ba 0.000 0.000 0.000
Ba 0.000 5.102 1.606
Ba 5.102 0.000 4.819
Ba 5.102 5.102 3.213
Na 1.836 7.653 4.016
Na 2.551 1.836 2.409
Na 2.551 3.266 5.622
Na 3.266 7.653 0.803
Na 6.938 2.551 0.803
Na 7.653 6.938 5.622
Na 7.653 8.368 2.409
Na 8.368 2.551 4.016
Br 0.000 0.000 3.213
Br 0.000 5.102 4.819
Br 5.102 0.000 1.606
Br 5.102 5.102 0.000
```

Summary:
Formation energy (no corrections) = -0.613 eV/atom
Mass density = 2.61 g/cm³
Space group = I-42d, No. 122

=====

Record 8
Below is a relaxed BaNa3Br crystal, with properties calculated at the PBEsol level.

Structure (extended XYZ):
```
5
Lattice="5.931 0.000 0.000 0.000 5.931 0.000 0.000 0.000 5.931" Properties=species:S:1:pos:R:3 pbc="T T T"
Ba 0.000 0.000 0.000
Na 0.000 2.966 2.966
Na 2.966 0.000 2.966
Na 2.966 2.966 0.000
Br 2.966 2.966 2.966
```

Summary:
Formation energy (no corrections) = -0.364 eV/atom
Mass density = 2.28 g/cm³
Space group = Pm-3m, No. 221

=====

Number 1: magnetic moment 0.00 μB/cell. Number 2: magnetic moment 0.23 μB/cell. Number 3: magnetic moment 6.00 μB/cell. Number 4: magnetic moment 7.03 μB/cell. Number 5: magnetic moment 1.40 μB/cell. Number 6: magnetic moment 1.64 μB/cell. Number 7: magnetic moment 0.00 μB/cell. Number 8: magnetic moment 0.02 μB/cell.